(1)
## ScTaCl3 (PBEsol)

Data for a relaxed structure of ScTaCl3.

- N(E_F) (states/eV per cell) = 5.9
- electronic total energy (eV/atom) = -5.16

Unit cell a=4.7862 b=4.7862 c=4.7862 alpha=90.00 beta=90.00 gamma=90.00
Last column: nearest neighbours and their distance in Å.
Fractional coordinates of all 5 atoms:
Sc (0.0000, 0.0000, 0.0000)  12 Cl 3.38
Ta (0.5000, 0.5000, 0.5000)  6 Cl 2.39
Cl (0.0000, 0.5000, 0.5000)  2 Ta 2.39
Cl (0.5000, 0.0000, 0.5000)  2 Ta 2.39
Cl (0.5000, 0.5000, 0.0000)  2 Ta 2.39

=====

(2)
## Sc2TcCl (PBEsol)

Data for a relaxed structure of Sc2TcCl.

- N(E_F) (states/eV per cell) = 2.0
- electronic total energy (eV/atom) = -7.03
- distance to the lowest polymorph of the same formula (meV/atom) = 380

Unit cell a=4.9258 b=4.9258 c=3.0407 alpha=101.12 beta=101.12 gamma=88.51
Last column: nearest neighbours and their distance in Å.
Fractional coordinates of all 4 atoms:
Sc (0.0000, 0.5000, 0.0000)  2 Cl 2.63, 2 Tc 2.63
Sc (0.5000, 0.0000, 0.0000)  2 Cl 2.63, 2 Tc 2.63
Tc (0.0000, 0.0000, 0.5000)  4 Sc 2.63
Cl (0.5000, 0.5000, 0.5000)  4 Sc 2.63